No. 1
Li4U3FeS8: relaxed, PBE.

Calculated values
Spin magnetization in μB/f.u.: 10.02
Total DFT energy (no corrections) in eV per atom: -6.396
Formation energy (no corrections) in eV per atom: -1.208

Cell lengths 7.5065, 7.5065, 18.7739 Å; angles 90.00, 90.00, 120.00 degrees
Space group R-3m (No. 166, hexagonal axes)
Inequivalent atoms, fractional coordinates:
Li  0.0000  0.0000  0.0000 [3 per cell]
Li  0.0000  0.5000  0.0000 [9 per cell]
U  0.0000  0.5000  0.5000 [9 per cell]
Fe  0.0000  0.0000  0.5000 [3 per cell]
S  0.0000  0.0000  0.2547 [6 per cell]
S  0.0119  0.5059  0.2492 [18 per cell]

***

No. 2
Li2VFeS4: relaxed, PBE.

Calculated values
Spin magnetization in μB/f.u.: 0.84
Total DFT energy (no corrections) in eV per atom: -5.628
Formation energy (no corrections) in eV per atom: -0.888

Cell lengths 3.3730, 3.3730, 11.8736 Å; angles 90.00, 90.00, 120.00 degrees
Space group P-3m1 (No. 164)
Inequivalent atoms, fractional coordinates:
Li  0.0000  0.0000  0.2398 [2 per cell]
V  0.0000  0.0000  0.5000 [1 per cell]
Fe  0.0000  0.0000  0.0000 [1 per cell]
S  0.3333  0.6667  0.1014 [2 per cell]
S  0.3333  0.6667  0.6191 [2 per cell]

***

No. 3
LiFeSb: relaxed, PBE.

Calculated values
Spin magnetization in μB/f.u.: 2.34
Total DFT energy (no corrections) in eV per atom: -4.904
Formation energy (no corrections) in eV per atom: -0.071

Cell lengths 4.1597, 4.1597, 7.3397 Å; angles 90.00, 90.00, 120.00 degrees
Space group P-3m1 (No. 164)
Inequivalent atoms, fractional coordinates:
Li  0.0000  0.0000  0.0000 [1 per cell]
Li  0.0000  0.0000  0.5000 [1 per cell]
Fe  0.3333  0.6667  0.4021 [2 per cell]
Sb  0.3333  0.6667  0.7557 [2 per cell]

***

No. 4
LiFeSb: relaxed, PBE.

Calculated values
Spin magnetization in μB/f.u.: 2.06
Total DFT energy (no corrections) in eV per atom: -4.963
Formation energy (no corrections) in eV per atom: -0.130

Cell lengths 4.1692, 4.1692, 21.2935 Å; angles 90.00, 90.00, 120.00 degrees
Space group R-3m (No. 166, hexagonal axes)
Inequivalent atoms, fractional coordinates:
Li  0.0000  0.0000  0.0000 [3 per cell]
Li  0.0000  0.0000  0.5000 [3 per cell]
Fe  0.0000  0.0000  0.1334 [6 per cell]
Sb  0.0000  0.0000  0.2532 [6 per cell]

***

No. 5
LiFe2Sb2: relaxed, PBE.

Calculated values
Spin magnetization in μB/f.u.: 4.41
Total DFT energy (no corrections) in eV per atom: -5.441
Polymorph energy (0 for the lowest one) in meV/atom: 0
Formation energy (no corrections) in eV per atom: -0.024

Cell lengths 3.4525, 3.4525, 16.4432 Å; angles 90.00, 90.00, 90.00 degrees
Space group I4/mmm (No. 139)
Inequivalent atoms, fractional coordinates:
Li  0.0000  0.0000  0.0000 [2 per cell]
Fe  0.0000  0.5000  0.2500 [4 per cell]
Sb  0.0000  0.0000  0.3740 [4 per cell]

***

No. 6
LiFeSb: relaxed, PBE.

Calculated values
Spin magnetization in μB/f.u.: 1.93
Total DFT energy (no corrections) in eV per atom: -4.940
Formation energy (no corrections) in eV per atom: -0.107

Cell lengths 4.0435, 4.0435, 23.0900 Å; angles 90.00, 90.00, 120.00 degrees
Space group R-3m (No. 166, hexagonal axes)
Inequivalent atoms, fractional coordinates:
Li  0.0000  0.0000  0.2002 [6 per cell]
Fe  0.0000  0.0000  0.3217 [6 per cell]
Sb  0.0000  0.0000  0.0688 [6 per cell]

***

No. 7
Li2FeSb2: relaxed, PBE.

Calculated values
Spin magnetization in μB/f.u.: 1.63
Total DFT energy (no corrections) in eV per atom: -4.293
Polymorph energy (0 for the lowest one) in meV/atom: 0
Formation energy (no corrections) in eV per atom: -0.186

Cell lengths 6.7071, 6.7071, 4.4515 Å; angles 90.00, 90.00, 90.00 degrees
Space group P4/mbm (No. 127)
Inequivalent atoms, fractional coordinates:
Li  0.1617  0.3383  0.0000 [4 per cell]
Fe  0.0000  0.0000  0.5000 [2 per cell]
Sb  0.1537  0.6537  0.5000 [4 per cell]

***

No. 8
LiFe2Sb2: relaxed, PBE.

Calculated values
Spin magnetization in μB/f.u.: 0.00
Total DFT energy (no corrections) in eV per atom: -5.316
Polymorph energy (0 for the lowest one) in meV/atom: 124
Formation energy (no corrections) in eV per atom: 0.101

Cell lengths 7.2906, 7.2906, 3.0216 Å; angles 90.00, 90.00, 90.00 degrees
Space group P4/mbm (No. 127)
Inequivalent atoms, fractional coordinates:
Li  0.0000  0.0000  0.0000 [2 per cell]
Fe  0.1331  0.3669  0.0000 [4 per cell]
Sb  0.1628  0.6628  0.5000 [4 per cell]

***

No. 9
LiFe4Sb12: relaxed, PBE.

Calculated values
Spin magnetization in μB/f.u.: 3.06
Total DFT energy (no corrections) in eV per atom: -5.084
Formation energy (no corrections) in eV per atom: -0.070

Cell lengths 9.1875, 9.1875, 9.1875 Å; angles 90.00, 90.00, 90.00 degrees
Space group Im-3 (No. 204)
Inequivalent atoms, fractional coordinates:
Li  0.0000  0.0000  0.0000 [2 per cell]
Fe  0.2500  0.2500  0.2500 [8 per cell]
Sb  0.0000  0.3320  0.1604 [24 per cell]

***

No. 10
LiFeSb: relaxed, PBE.

Calculated values
Spin magnetization in μB/f.u.: 2.08
Total DFT energy (no corrections) in eV per atom: -4.762
Formation energy (no corrections) in eV per atom: 0.071

Cell lengths 4.4414, 4.4414, 3.0209 Å; angles 90.00, 90.00, 120.00 degrees
Space group P3m1 (No. 156)
Inequivalent atoms, fractional coordinates:
Li  0.0000  0.0000  0.0000 [1 per cell]
Fe  0.6667  0.3333  0.4984 [1 per cell]
Sb  0.3333  0.6667  0.5033 [1 per cell]

***

No. 11
LiFe3Sb: relaxed, PBE.

Calculated values
Spin magnetization in μB/f.u.: 7.70
Total DFT energy (no corrections) in eV per atom: -5.484
Polymorph energy (0 for the lowest one) in meV/atom: 0
Formation energy (no corrections) in eV per atom: 0.801

Cell lengths 4.1461, 4.1461, 4.1461 Å; angles 90.00, 90.00, 90.00 degrees
Space group Pm-3m (No. 221)
Inequivalent atoms, fractional coordinates:
Li  0.0000  0.0000  0.0000 [1 per cell]
Fe  0.0000  0.0000  0.5000 [3 per cell]
Sb  0.5000  0.5000  0.5000 [1 per cell]

***

No. 12
LiFeSb4: relaxed, PBE.

Calculated values
Spin magnetization in μB/f.u.: 3.58
Total DFT energy (no corrections) in eV per atom: -3.926
Formation energy (no corrections) in eV per atom: 0.551

Cell lengths 8.7400, 8.7400, 8.7400 Å; angles 90.00, 90.00, 90.00 degrees
Space group F-43m (No. 216)
Inequivalent atoms, fractional coordinates:
Li  0.0000  0.0000  0.0000 [4 per cell]
Fe  0.2500  0.2500  0.2500 [4 per cell]
Sb  0.1248  0.1248  0.6248 [16 per cell]

***

No. 13
Li2FeSb2: relaxed, PBE.

Calculated values
Spin magnetization in μB/f.u.: 2.51
Total DFT energy (no corrections) in eV per atom: -4.005
Polymorph energy (0 for the lowest one) in meV/atom: 288
Formation energy (no corrections) in eV per atom: 0.102

Cell lengths 3.4644, 3.4644, 15.4918 Å; angles 90.00, 90.00, 90.00 degrees
Space group I4/mmm (No. 139)
Inequivalent atoms, fractional coordinates:
Li  0.0000  0.5000  0.2500 [4 per cell]
Fe  0.0000  0.0000  0.0000 [2 per cell]
Sb  0.0000  0.0000  0.3981 [4 per cell]

***

No. 14
LiFeSb: relaxed, PBE.

Calculated values
Spin magnetization in μB/f.u.: 0.00
Total DFT energy (no corrections) in eV per atom: -4.796
Formation energy (no corrections) in eV per atom: 0.037

Cell lengths 3.2472, 3.2472, 8.2740 Å; angles 90.00, 90.00, 90.00 degrees
Space group I4mm (No. 107)
Inequivalent atoms, fractional coordinates:
Li  0.0000  0.0000  0.0000 [2 per cell]
Fe  0.0000  0.0000  0.3380 [2 per cell]
Sb  0.0000  0.0000  0.6786 [2 per cell]

***

No. 15
Li4FeSb: relaxed, PBE.

Calculated values
Spin magnetization in μB/f.u.: 2.70
Total DFT energy (no corrections) in eV per atom: -3.254
Formation energy (no corrections) in eV per atom: 0.119

Cell lengths 7.1502, 7.1502, 7.1502 Å; angles 90.00, 90.00, 90.00 degrees
Space group F-43m (No. 216)
Inequivalent atoms, fractional coordinates:
Li  0.1250  0.1250  0.1250 [16 per cell]
Fe  0.0000  0.0000  0.5000 [4 per cell]
Sb  0.2500  0.2500  0.7500 [4 per cell]

***

No. 16
LiFeSb: relaxed, PBE.

Calculated values
Spin magnetization in μB/f.u.: 1.80
Total DFT energy (no corrections) in eV per atom: -4.922
Formation energy (no corrections) in eV per atom: -0.089

Cell lengths 4.1969, 4.1969, 21.2906 Å; angles 90.00, 90.00, 120.00 degrees
Space group R3m (No. 160, hexagonal axes)
Inequivalent atoms, fractional coordinates:
Li  0.0000  0.0000  0.0000 [3 per cell]
Li  0.0000  0.0000  0.1624 [3 per cell]
Fe  0.0000  0.0000  0.2976 [3 per cell]
Fe  0.0000  0.0000  0.7026 [3 per cell]
Sb  0.0000  0.0000  0.4163 [3 per cell]
Sb  0.0000  0.0000  0.5834 [3 per cell]

***

No. 17
SrLiFeSb2: relaxed, PBE.

Calculated values
Spin magnetization in μB/f.u.: 3.42
Total DFT energy (no corrections) in eV per atom: -2.845
Formation energy (no corrections) in eV per atom: 1.216

Cell lengths 5.9293, 5.9293, 5.4414 Å; angles 90.00, 90.00, 90.00 degrees
Space group P4/mmm (No. 123)
Inequivalent atoms, fractional coordinates:
Sr  0.0000  0.0000  0.0000 [1 per cell]
Li  0.0000  0.0000  0.5000 [1 per cell]
Fe  0.5000  0.5000  0.5000 [1 per cell]
Sb  0.0000  0.5000  0.0000 [2 per cell]

***

No. 18
LiFeSbTe2: relaxed, PBE.

Calculated values
Spin magnetization in μB/f.u.: 3.37
Total DFT energy (no corrections) in eV per atom: -3.461
Polymorph energy (0 for the lowest one) in meV/atom: 533
Formation energy (no corrections) in eV per atom: 0.696

Cell lengths 5.1454, 5.1454, 4.8112 Å; angles 90.00, 90.00, 90.00 degrees
Space group P4/mmm (No. 123)
Inequivalent atoms, fractional coordinates:
Li  0.0000  0.0000  0.0000 [1 per cell]
Fe  0.5000  0.5000  0.5000 [1 per cell]
Sb  0.0000  0.0000  0.5000 [1 per cell]
Te  0.0000  0.5000  0.0000 [2 per cell]

***

No. 19
LiFeSbTe2: relaxed, PBE.

Calculated values
Spin magnetization in μB/f.u.: 2.46
Total DFT energy (no corrections) in eV per atom: -3.994
Polymorph energy (0 for the lowest one) in meV/atom: 0
Formation energy (no corrections) in eV per atom: 0.162

Cell lengths 5.3738, 5.3738, 4.8541 Å; angles 90.00, 90.00, 90.00 degrees
Space group P4/mmm (No. 123)
Inequivalent atoms, fractional coordinates:
Li  0.0000  0.0000  0.0000 [1 per cell]
Fe  0.5000  0.5000  0.5000 [1 per cell]
Sb  0.5000  0.5000  0.0000 [1 per cell]
Te  0.0000  0.5000  0.5000 [2 per cell]

***

No. 20
LiScFe3: relaxed, PBE.

Calculated values
Spin magnetization in μB/f.u.: 5.94
Total DFT energy (no corrections) in eV per atom: -6.052
Polymorph energy (0 for the lowest one) in meV/atom: 0
ΔH_f (0 K) in eV per atom: 0.675

Cell lengths 4.1002, 4.1002, 4.1002 Å; angles 90.00, 90.00, 90.00 degrees
Space group Pm-3m (No. 221)
Inequivalent atoms, fractional coordinates:
Li  0.0000  0.0000  0.0000 [1 per cell]
Sc  0.5000  0.5000  0.5000 [1 per cell]
Fe  0.0000  0.0000  0.5000 [3 per cell]

***

No. 21
Li4ScFe: relaxed, PBE.

Calculated values
Spin magnetization in μB/f.u.: 1.50
Total DFT energy (no corrections) in eV per atom: -3.391
ΔH_f (0 K) in eV per atom: 0.351

Cell lengths 7.3609, 7.3609, 7.3609 Å; angles 90.00, 90.00, 90.00 degrees
Space group F-43m (No. 216)
Inequivalent atoms, fractional coordinates:
Li  0.1231  0.1231  0.3769 [16 per cell]
Sc  0.0000  0.0000  0.0000 [4 per cell]
Fe  0.2500  0.2500  0.7500 [4 per cell]

***

No. 22
LiSc4Fe: relaxed, PBE.

Calculated values
Spin magnetization in μB/f.u.: 2.40
Total DFT energy (no corrections) in eV per atom: -5.321
ΔH_f (0 K) in eV per atom: 0.629

Cell lengths 8.1782, 8.1782, 8.1782 Å; angles 90.00, 90.00, 90.00 degrees
Space group F-43m (No. 216)
Inequivalent atoms, fractional coordinates:
Li  0.0000  0.0000  0.0000 [4 per cell]
Sc  0.1236  0.1236  0.6236 [16 per cell]
Fe  0.2500  0.2500  0.2500 [4 per cell]

***

No. 23
Li2Sc2Fe: relaxed, PBE.

Calculated values
Spin magnetization in μB/f.u.: 0.00
Total DFT energy (no corrections) in eV per atom: -4.556
Polymorph energy (0 for the lowest one) in meV/atom: 289
ΔH_f (0 K) in eV per atom: 0.435

Cell lengths 6.3950, 6.3950, 4.1291 Å; angles 90.00, 90.00, 90.00 degrees
Space group P4/mbm (No. 127)
Inequivalent atoms, fractional coordinates:
Li  0.1199  0.3801  0.0000 [4 per cell]
Sc  0.2017  0.7017  0.5000 [4 per cell]
Fe  0.0000  0.0000  0.0000 [2 per cell]

***

No. 24
LiScFe: relaxed, PBE.

Calculated values
Spin magnetization in μB/f.u.: 1.48
Total DFT energy (no corrections) in eV per atom: -4.922
Polymorph energy (0 for the lowest one) in meV/atom: 433
ΔH_f (0 K) in eV per atom: 0.647

Cell lengths 5.9295, 5.9295, 5.9295 Å; angles 90.00, 90.00, 90.00 degrees
Space group F-43m (No. 216)
Inequivalent atoms, fractional coordinates:
Li  0.0000  0.0000  0.0000 [4 per cell]
Sc  0.2500  0.2500  0.7500 [4 per cell]
Fe  0.2500  0.2500  0.2500 [4 per cell]